## LuSn2Te (PBE)

Data for LuSn2Te after structural relaxation.

POSCAR file:
```
LuSn2Te
1.0
2.834 -3.373 -3.049
0.572 -5.116 1.485
-2.490 -3.877 -2.733
Lu Sn Te
1 2 1
Direct
0.500 0.500 0.500
0.000 0.000 0.000
0.250 0.250 0.250
0.750 0.750 0.750
```

Values from the calculation:
Symmetry ... F-43m
DFT total energy ... -16.72 eV for the cell shown
Total magnetic moment ... 0.00 Bohr magnetons per cell

=====

## InOsAuS3 (PBE)

Data for InOsAuS3 after structural relaxation.

POSCAR file:
```
InOsAuS3
1.0
9.350 0.000 0.000
0.000 7.097 1.841
0.000 -7.097 1.841
Au In Os S
2 2 2 6
Direct
0.750 0.669 0.331
0.250 0.331 0.669
0.250 0.679 0.321
0.750 0.321 0.679
0.000 0.000 0.000
0.500 0.000 0.000
0.750 0.956 0.044
0.517 0.608 0.392
0.983 0.608 0.392
0.017 0.392 0.608
0.483 0.392 0.608
0.250 0.044 0.956
```

Values from the calculation:
Symmetry ... Cmcm
DFT total energy ... -61.30 eV for the cell shown
Total magnetic moment ... 0.00 Bohr magnetons per cell

=====

> Which value of DFT total energy does entry 2 give?

-61.30 eV for the cell shown